Ti8BeSn2: optimized geometry, PBE.

a = 7.9718 Å, b = 7.9718 Å, c = 5.3054 Å
α = 91.38°, β = 91.38°, γ = 34.04°
Element x y z (fractional)
Ti1 0.0444 0.0444 0.2707
Ti2 0.2333 0.2333 0.3399
Ti3 0.3429 0.3429 0.8764
Ti4 0.4198 0.4198 0.4123
Ti5 0.5802 0.5802 0.5877
Ti6 0.6571 0.6571 0.1236
Ti7 0.7667 0.7667 0.6601
Ti8 0.9556 0.9556 0.7293
Be1 0.5000 0.5000 0.0000
Sn1 0.1526 0.1526 0.8134
Sn2 0.8474 0.8474 0.1866

## Properties
* crystal system: monoclinic
* calculated formation energy: -0.1710 eV per atom
* total DFT energy (no corrections): -76.772 eV per cell
* DOS(E_F): 11.52 states/eV per cell


Ti2Be4Sn: optimized geometry, PBE.

a = 6.9865 Å, b = 6.9865 Å, c = 6.9865 Å
α = 143.15°, β = 143.15°, γ = 53.10°
Element x y z (fractional)
Ti1 0.1031 0.1031 0.0000
Ti2 0.8969 0.8969 0.0000
Be1 0.0000 0.5000 0.5000
Be2 0.3015 0.3015 0.0000
Be3 0.5000 0.0000 0.5000
Be4 0.6985 0.6985 0.0000
Sn1 0.5000 0.5000 0.0000

## Properties
* crystal system: tetragonal
* calculated formation energy: 1.0279 eV per atom
* total DFT energy (no corrections): -27.502 eV per cell
* DOS(E_F): 4.91 states/eV per cell


Ti2Be2Sn: optimized geometry, PBE.

a = 6.2234 Å, b = 6.2234 Å, c = 3.5099 Å
α = 90.00°, β = 90.00°, γ = 147.71°
Element x y z (fractional)
Ti1 0.1478 0.8522 0.0000
Ti2 0.8522 0.1478 0.0000
Be1 0.2958 0.7042 0.5000
Be2 0.7042 0.2958 0.5000
Sn1 0.5000 0.5000 0.5000

## Properties
* crystal system: orthorhombic
* calculated formation energy: -0.2648 eV per atom
* total DFT energy (no corrections): -28.569 eV per cell
* DOS(E_F): 2.31 states/eV per cell


TiBe3Sn: optimized geometry, PBE.

a = 4.4620 Å, b = 4.4620 Å, c = 4.4620 Å
α = 90.00°, β = 90.00°, γ = 90.00°
Element x y z (fractional)
Ti1 0.0000 0.0000 0.0000
Be1 0.0000 0.5000 0.5000
Be2 0.5000 0.0000 0.5000
Be3 0.5000 0.5000 0.0000
Sn1 0.5000 0.5000 0.5000

## Properties
* crystal system: cubic
* calculated formation energy: 1.3072 eV per atom
* total DFT energy (no corrections): -16.540 eV per cell
* DOS(E_F): 3.91 states/eV per cell


BeTlSn3: optimized geometry, PBE.

a = 5.7290 Å, b = 5.7290 Å, c = 5.7290 Å
α = 90.00°, β = 90.00°, γ = 90.00°
Element x y z (fractional)
Be1 0.0000 0.0000 0.0000
Tl1 0.5000 0.5000 0.5000
Sn1 0.0000 0.5000 0.5000
Sn2 0.5000 0.0000 0.5000
Sn3 0.5000 0.5000 0.0000

## Properties
* crystal system: cubic
* calculated formation energy: 1.2495 eV per atom
* total DFT energy (no corrections): -11.853 eV per cell
* DOS(E_F): 5.29 states/eV per cell


Be2TlSn: optimized geometry, PBE.

a = 8.5816 Å, b = 8.5816 Å, c = 8.5816 Å
α = 149.95°, β = 149.95°, γ = 43.02°
Element x y z (fractional)
Be1 0.1197 0.6250 0.9947
Be2 0.3750 0.3697 0.4947
Be3 0.6303 0.1250 0.0053
Be4 0.8750 0.8803 0.5053
Tl1 0.0000 0.0000 0.0000
Tl2 0.7500 0.2500 0.5000
Sn1 0.2500 0.7500 0.5000
Sn2 0.5000 0.5000 0.0000

## Properties
* crystal system: tetragonal
* calculated formation energy: 0.6022 eV per atom
* total DFT energy (no corrections): -22.825 eV per cell
* DOS(E_F): 2.82 states/eV per cell


BeTlSn3: optimized geometry, PBE.

a = 5.0606 Å, b = 5.0606 Å, c = 5.0606 Å
α = 90.00°, β = 90.00°, γ = 90.00°
Element x y z (fractional)
Be1 0.0000 0.0000 0.0000
Tl1 0.5000 0.5000 0.5000
Sn1 0.0000 0.0000 0.5000
Sn2 0.0000 0.5000 0.0000
Sn3 0.5000 0.0000 0.0000

## Properties
* crystal system: cubic
* calculated formation energy: 0.2894 eV per atom
* total DFT energy (no corrections): -16.654 eV per cell
* DOS(E_F): 4.24 states/eV per cell


BeTl2Sn: optimized geometry, PBE.

a = 7.3642 Å, b = 7.3642 Å, c = 7.3642 Å
α = 95.64°, β = 95.64°, γ = 143.45°
Element x y z (fractional)
Be1 0.0000 0.0000 0.0000
Be2 0.7500 0.2500 0.5000
Tl1 0.0079 0.6250 0.8829
Tl2 0.3750 0.2579 0.3829
Tl3 0.7421 0.1250 0.1171
Tl4 0.8750 0.9921 0.6171
Sn1 0.2500 0.7500 0.5000
Sn2 0.5000 0.5000 0.0000

## Properties
* crystal system: tetragonal
* calculated formation energy: 0.3966 eV per atom
* total DFT energy (no corrections): -21.750 eV per cell
* DOS(E_F): 1.50 states/eV per cell